Compound: YCu2Ni2
Source: the Open Quantum Materials Database
Functional: PBE
Structure: relaxed

Computed properties:
SG   No. 139
Electronic total energy   -5.22 eV/atom
ΔE_f   -0.21 eV per atom

abc: 5.953 5.953 5.953
angles: 143.15 143.15 53.09
Element x y z (fractional)
Y1 0.000 0.000 0.000
Cu1 0.250 0.750 0.500
Cu2 0.750 0.250 0.500
Ni1 0.393 0.393 0.000
Ni2 0.607 0.607 0.000


Compound: YCuNi2
Source: the Open Quantum Materials Database
Functional: PBE
Structure: relaxed

Computed properties:
SG   No. 216
Electronic total energy   -5.41 eV/atom
ΔE_f   -0.08 eV per atom

abc: 4.411 4.411 4.411
angles: 60.00 60.00 60.00
Element x y z (fractional)
Y1 0.000 0.000 0.000
Cu1 0.250 0.250 0.250
Ni1 0.500 0.500 0.500
Ni2 0.750 0.750 0.750


Compound: Zn2CuNi
Source: the Open Quantum Materials Database
Functional: PBE
Structure: relaxed

Computed properties:
SG   No. 216
Electronic total energy   -3.06 eV/atom
ΔE_f   -0.11 eV per atom

abc: 4.131 4.131 4.131
angles: 60.00 60.00 60.00
Element x y z (fractional)
Zn1 0.000 0.000 0.000
Zn2 0.250 0.250 0.250
Cu1 0.750 0.750 0.750
Ni1 0.500 0.500 0.500


Compound: Zn2Cu5Ni
Source: the Open Quantum Materials Database
Functional: PBE
Structure: relaxed

Computed properties:
SG   No. 123
Electronic total energy   -3.39 eV/atom
ΔE_f   -0.05 eV per atom
Energy above the lowest structure with this stoichiometry   0 meV per atom

abc: 4.086 4.086 5.829
angles: 90.00 90.00 90.00
Element x y z (fractional)
Zn1 0.000 0.000 0.000
Zn2 0.500 0.500 0.500
Cu1 0.000 0.000 0.500
Cu2 0.000 0.500 0.248
Cu3 0.000 0.500 0.752
Cu4 0.500 0.000 0.248
Cu5 0.500 0.000 0.752
Ni1 0.500 0.500 0.000


> Look up the electronic total energy of the second one.

-5.41 eV/atom


> The highest ΔE_f belongs to which entry?

Zn2Cu5Ni


> Which value of electronic total energy does entry 3 give?

-3.06 eV/atom